(1)
GGA-PBE LaCuOs2, optimized geometry; E_tot = -59.37 eV for the cell shown; density = 11.23 Mg/m³
1.0
-2.185 2.185 9.032
2.185 -2.185 9.032
2.185 2.185 -9.032
La Cu Os
2 2 4
Cartesian
0.000 0.000 0.000
0.000 2.185 4.516
2.185 0.000 4.516
0.000 0.000 9.032
1.092 -0.510 6.774
1.675 1.092 2.258
1.092 2.694 -2.258
0.510 1.092 11.290

(2)
GGA-PBE Ce15Ga4Ge, optimized geometry; E_tot = -111.30 eV for the cell shown; density = 8.12 Mg/m³
1.0
4.651 0.000 0.000
0.000 4.651 0.000
0.000 0.000 23.185
Ce Ga Ge
15 4 1
Cartesian
0.000 0.000 0.000
0.000 0.000 4.662
0.000 0.000 9.260
0.000 0.000 13.925
0.000 0.000 18.523
0.000 2.325 2.279
0.000 2.325 6.939
0.000 2.325 11.593
0.000 2.325 16.246
0.000 2.325 20.906
2.325 0.000 2.279
2.325 0.000 6.939
2.325 0.000 11.593
2.325 0.000 16.246
2.325 0.000 20.906
2.325 2.325 4.611
2.325 2.325 9.265
2.325 2.325 13.920
2.325 2.325 18.574
2.325 2.325 0.000

(3)
GGA-PBE Pd2Pt7, optimized geometry; E_tot = -52.96 eV for the cell shown; density = 18.72 Mg/m³
1.0
4.851 0.000 0.000
-2.425 4.201 0.000
0.000 0.000 6.870
Pd Pt
2 7
Cartesian
0.000 2.801 0.000
2.425 1.400 0.000
0.000 0.000 0.000
-0.807 1.398 4.590
-1.618 2.803 2.280
1.615 0.000 4.590
0.807 1.398 2.280
3.236 0.000 2.280
1.618 2.803 4.590

Total moment (Bohr magnetons per cell)
0.0 12.3 0.0
Formation enthalpy at 0 K (eV per atom)
0.45 -0.28 -0.03